Y2WBr | PBE | optimized geometry

The formation energy without anion corrections comes out at 22.2 kJ per mole of atoms. For the energy relative to the lowest polymorph listed for this composition, the calculation gives 420.3 meV/atom. As for the space group: P4/mmm.

Geometry as POSCAR:
```
Y2WBr
1.0
4.1508 0.0000 0.0000
0.0000 4.1508 0.0000
0.0000 0.0000 5.8139
Y Br W
2 1 1
Cartesian
0.0000 0.0000 5.0859
2.0754 2.0754 2.1829
0.0000 0.0000 2.1786
2.0754 2.0754 5.0873
```